Record 1
## Pa6Co3S14 (PBE)

Data for an optimized crystal structure of Pa6Co3S14. Values from VASP.

Geometry as Quantum ESPRESSO input:
```
&SYSTEM
  ibrav = 0, nat = 23, ntyp = 3
/
ATOMIC_SPECIES
Pa 231.04 Pa.upf
Co 58.93 Co.upf
S 32.06 S.upf
CELL_PARAMETERS angstrom
9.711 0.000 0.000
-4.855 8.410 0.000
0.000 0.000 5.519
ATOMIC_POSITIONS crystal
Pa 0.038 0.471 0.000
Pa 0.295 0.195 0.506
Pa 0.433 0.962 0.000
Pa 0.529 0.567 0.000
Pa 0.805 0.100 0.506
Pa 0.900 0.705 0.506
Co 0.000 0.000 0.309
Co 0.333 0.667 0.802
Co 0.667 0.333 0.754
S 0.000 0.000 0.718
S 0.094 0.254 0.233
S 0.160 0.906 0.233
S 0.175 0.763 0.733
S 0.237 0.412 0.733
S 0.333 0.667 0.213
S 0.422 0.239 0.988
S 0.515 0.091 0.507
S 0.576 0.485 0.507
S 0.588 0.825 0.733
S 0.746 0.840 0.233
S 0.761 0.184 0.988
S 0.816 0.578 0.988
S 0.909 0.424 0.507
```

Summary:
As for the formation energy from raw total energies: -1316 meV per atom. The calculated volume comes out at 19.6 Å³ per atom. As for the symmetry: No. 143.

=====

Record 2
## AlGa2Sb2 (PBE)

Data for an optimized crystal structure of AlGa2Sb2. Values from VASP.

Geometry as Quantum ESPRESSO input:
```
&SYSTEM
  ibrav = 0, nat = 10, ntyp = 3
/
ATOMIC_SPECIES
Al 26.98 Al.upf
Ga 69.72 Ga.upf
Sb 121.76 Sb.upf
CELL_PARAMETERS angstrom
7.889 0.000 0.000
0.000 7.889 0.000
0.000 0.000 3.834
ATOMIC_POSITIONS crystal
Al 0.000 0.000 0.000
Al 0.500 0.500 0.000
Ga 0.130 0.370 0.500
Ga 0.370 0.870 0.500
Ga 0.630 0.130 0.500
Ga 0.870 0.630 0.500
Sb 0.171 0.671 0.000
Sb 0.329 0.171 0.000
Sb 0.671 0.829 0.000
Sb 0.829 0.329 0.000
```

Summary:
As for the formation energy from raw total energies: 183 meV per atom. The calculated volume comes out at 23.9 Å³ per atom. As for the symmetry: No. 127. Its excess energy over the best structure of this formula in the dataset is 0 kJ/mol of formula units.

=====

Record 3
## VInPd (PBE)

Data for an optimized crystal structure of VInPd. Values from VASP.

Geometry as Quantum ESPRESSO input:
```
&SYSTEM
  ibrav = 0, nat = 3, ntyp = 3
/
ATOMIC_SPECIES
V 50.94 V.upf
In 114.82 In.upf
Pd 106.42 Pd.upf
CELL_PARAMETERS angstrom
-1.468 1.468 5.763
1.468 -1.468 5.763
1.468 1.468 -5.763
ATOMIC_POSITIONS crystal
V 0.000 0.000 0.000
In 0.324 0.324 0.000
Pd 0.646 0.646 0.000
```

Summary:
The calculated volume comes out at 16.6 Å³ per atom. Its formation energy is -0.102 eV/atom. As for the symmetry: No. 107.

=====

Record 4
## TaVOsS2 (PBE)

Data for an optimized crystal structure of TaVOsS2. Values from VASP.

Geometry as Quantum ESPRESSO input:
```
&SYSTEM
  ibrav = 0, nat = 5, ntyp = 4
/
ATOMIC_SPECIES
Ta 180.95 Ta.upf
V 50.94 V.upf
Os 190.23 Os.upf
S 32.06 S.upf
CELL_PARAMETERS angstrom
4.357 0.000 0.000
0.000 4.357 0.000
0.000 0.000 4.669
ATOMIC_POSITIONS crystal
Ta 0.000 0.000 0.000
V 0.500 0.500 0.500
Os 0.500 0.500 0.000
S 0.000 0.500 0.500
S 0.500 0.000 0.500
```

Summary:
As for the formation energy from raw total energies: 854 meV per atom. The calculated volume comes out at 17.7 Å³ per atom. As for the symmetry: No. 123.

=====

Record 5
## LaMn2Ni (PBE)

Data for an optimized crystal structure of LaMn2Ni. Values from VASP.

Geometry as Quantum ESPRESSO input:
```
&SYSTEM
  ibrav = 0, nat = 4, ntyp = 3
/
ATOMIC_SPECIES
La 138.91 La.upf
Mn 54.94 Mn.upf
Ni 58.69 Ni.upf
CELL_PARAMETERS angstrom
3.578 -2.065 0.000
3.578 2.065 0.000
-2.375 0.000 5.136
ATOMIC_POSITIONS crystal
La 0.000 0.000 0.000
Mn 0.495 0.495 0.486
Mn 0.807 0.807 0.423
Ni 0.205 0.205 0.616
```

Summary:
The calculated volume comes out at 19.0 Å³ per atom. Its formation energy is 0.018 eV/atom. As for the symmetry: No. 8.

=====

Record 6
## Tm2Sc2Tl2O (PBE)

Data for an optimized crystal structure of Tm2Sc2Tl2O. Values from VASP.

Geometry as Quantum ESPRESSO input:
```
&SYSTEM
  ibrav = 0, nat = 7, ntyp = 4
/
ATOMIC_SPECIES
Tm 168.93 Tm.upf
Sc 44.96 Sc.upf
Tl 204.38 Tl.upf
O 16.00 O.upf
CELL_PARAMETERS angstrom
-2.209 2.209 7.925
2.209 -2.209 7.925
2.209 2.209 -7.925
ATOMIC_POSITIONS crystal
Tm 0.166 0.166 0.000
Tm 0.834 0.834 0.000
Sc 0.000 0.500 0.500
Sc 0.500 0.000 0.500
Tl 0.363 0.363 0.000
Tl 0.637 0.637 0.000
O 0.000 0.000 0.000
```

Summary:
As for the formation energy from raw total energies: -1112 meV per atom. The calculated volume comes out at 22.1 Å³ per atom. As for the symmetry: No. 139.

=====

Record 7
## SrTlCuAgRh (PBE)

Data for an optimized crystal structure of SrTlCuAgRh. Values from VASP.

Geometry as Quantum ESPRESSO input:
```
&SYSTEM
  ibrav = 0, nat = 5, ntyp = 5
/
ATOMIC_SPECIES
Sr 87.62 Sr.upf
Tl 204.38 Tl.upf
Cu 63.55 Cu.upf
Ag 107.87 Ag.upf
Rh 102.91 Rh.upf
CELL_PARAMETERS angstrom
4.254 0.000 0.000
0.000 4.731 0.000
0.000 0.000 5.710
ATOMIC_POSITIONS crystal
Sr 0.000 0.000 0.000
Tl 0.500 0.500 0.715
Cu 0.000 0.500 0.411
Ag 0.500 0.000 0.438
Rh 0.500 0.500 0.181
```

Summary:
The calculated volume comes out at 23.0 Å³ per atom. Its formation energy is -0.090 eV/atom. As for the symmetry: No. 25. Its excess energy over the best structure of this formula in the dataset is 7 kJ/mol of formula units.

=====

Record 8
## Li2BRh2 (PBE)

Data for an optimized crystal structure of Li2BRh2. Values from VASP.

Geometry as Quantum ESPRESSO input:
```
&SYSTEM
  ibrav = 0, nat = 10, ntyp = 3
/
ATOMIC_SPECIES
Li 6.94 Li.upf
B 10.81 B.upf
Rh 102.91 Rh.upf
CELL_PARAMETERS angstrom
5.536 0.000 0.000
0.000 5.536 0.000
0.000 0.000 4.315
ATOMIC_POSITIONS crystal
Li 0.164 0.336 0.000
Li 0.336 0.836 0.000
Li 0.664 0.164 0.000
Li 0.836 0.664 0.000
B 0.000 0.000 0.500
B 0.500 0.500 0.500
Rh 0.164 0.664 0.500
Rh 0.336 0.164 0.500
Rh 0.664 0.836 0.500
Rh 0.836 0.336 0.500
```

Summary:
The calculated volume comes out at 13.2 Å³ per atom. Its formation energy is -0.300 eV/atom. As for the symmetry: No. 127.

=====

Record 9
## RbZr2Se4 (PBE)

Data for an optimized crystal structure of RbZr2Se4. Values from VASP.

Geometry as Quantum ESPRESSO input:
```
&SYSTEM
  ibrav = 0, nat = 14, ntyp = 3
/
ATOMIC_SPECIES
Rb 85.47 Rb.upf
Zr 91.22 Zr.upf
Se 78.96 Se.upf
CELL_PARAMETERS angstrom
2.003 -6.666 0.000
2.003 6.666 0.000
0.000 0.000 13.845
ATOMIC_POSITIONS crystal
Rb 0.108 0.892 0.750
Rb 0.892 0.108 0.250
Zr 0.371 0.629 0.563
Zr 0.371 0.629 0.937
Zr 0.629 0.371 0.063
Zr 0.629 0.371 0.437
Se 0.000 0.000 0.000
Se 0.000 0.000 0.500
Se 0.264 0.736 0.105
Se 0.264 0.736 0.395
Se 0.412 0.588 0.750
Se 0.588 0.412 0.250
Se 0.736 0.264 0.605
Se 0.736 0.264 0.895
```

Summary:
As for the formation energy from raw total energies: -1277 meV per atom. The calculated volume comes out at 26.4 Å³ per atom. As for the symmetry: No. 63. Its excess energy over the best structure of this formula in the dataset is 82 kJ/mol of formula units.

=====

Record 10
## RePtF2 (PBE)

Data for an optimized crystal structure of RePtF2. Values from VASP.

Geometry as Quantum ESPRESSO input:
```
&SYSTEM
  ibrav = 0, nat = 4, ntyp = 3
/
ATOMIC_SPECIES
Re 186.21 Re.upf
Pt 195.08 Pt.upf
F 19.00 F.upf
CELL_PARAMETERS angstrom
0.000 2.977 2.977
2.977 0.000 2.977
2.977 2.977 0.000
ATOMIC_POSITIONS crystal
Re 0.000 0.000 0.000
Pt 0.500 0.500 0.500
F 0.250 0.250 0.250
F 0.750 0.750 0.750
```

Summary:
As for the formation energy from raw total energies: 610 meV per atom. The calculated volume comes out at 13.2 Å³ per atom. As for the symmetry: No. 225. Its excess energy over the best structure of this formula in the dataset is 327 kJ/mol of formula units.

=====

Record 11
## Rb3Cu2HgF9 (PBE)

Data for an optimized crystal structure of Rb3Cu2HgF9. Values from VASP.

Geometry as Quantum ESPRESSO input:
```
&SYSTEM
  ibrav = 0, nat = 15, ntyp = 4
/
ATOMIC_SPECIES
Rb 85.47 Rb.upf
Cu 63.55 Cu.upf
Hg 200.59 Hg.upf
F 19.00 F.upf
CELL_PARAMETERS angstrom
6.048 0.000 0.000
-3.024 5.238 0.000
0.000 0.000 7.474
ATOMIC_POSITIONS crystal
Rb 0.000 0.000 0.000
Rb 0.333 0.667 0.670
Rb 0.667 0.333 0.330
Cu 0.333 0.667 0.151
Cu 0.667 0.333 0.849
Hg 0.000 0.000 0.500
F 0.000 0.500 0.000
F 0.177 0.354 0.313
F 0.177 0.823 0.313
F 0.354 0.177 0.687
F 0.500 0.000 0.000
F 0.500 0.500 0.000
F 0.646 0.823 0.313
F 0.823 0.177 0.687
F 0.823 0.646 0.687
```

Summary:
As for the formation energy from raw total energies: -2042 meV per atom. The calculated volume comes out at 15.8 Å³ per atom. As for the symmetry: No. 164.

=====

Record 12
## Zr4TlBr (PBE)

Data for an optimized crystal structure of Zr4TlBr. Values from VASP.

Geometry as Quantum ESPRESSO input:
```
&SYSTEM
  ibrav = 0, nat = 6, ntyp = 3
/
ATOMIC_SPECIES
Zr 91.22 Zr.upf
Tl 204.38 Tl.upf
Br 79.90 Br.upf
CELL_PARAMETERS angstrom
0.000 4.172 4.172
4.172 0.000 4.172
4.172 4.172 0.000
ATOMIC_POSITIONS crystal
Zr 0.377 0.377 0.377
Zr 0.377 0.377 0.869
Zr 0.377 0.869 0.377
Zr 0.869 0.377 0.377
Tl 0.750 0.750 0.750
Br 0.000 0.000 0.000
```

Summary:
As for the formation energy from raw total energies: 341 meV per atom. The calculated volume comes out at 24.2 Å³ per atom. As for the symmetry: No. 216.

=====

| no. | E (eV per atom) |
| --- | --- |
| 1 | -7.23 |
| 2 | -3.43 |
| 3 | -5.79 |
| 4 | -7.24 |
| 5 | -7.24 |
| 6 | -5.58 |
| 7 | -3.76 |
| 8 | -5.34 |
| 9 | -5.85 |
| 10 | -4.95 |
| 11 | -3.92 |
| 12 | -6.03 |